{
  "formula": "Rb2Tc2Bi",
  "functional": "PBE",
  "state": "optimized geometry",
  "lattice": [[4.619, 0.000, 0.000], [0.000, 4.619, 0.000], [2.310, 2.310, 7.664]],
  "species": ["Rb", "Rb", "Bi", "Tc", "Tc"],
  "fractional_positions": [[0.750, 0.250, 0.500], [0.250, 0.750, 0.500], [0.000, 0.000, 0.000], [0.433, 0.433, 0.133], [0.567, 0.567, 0.867]],
  "magnetic_moment_mub_per_fu": 1.7,
  "formation_energy_ev_per_fu": 7.1
}

***

{
  "formula": "RbTeSCl2",
  "functional": "PBE",
  "state": "optimized geometry",
  "lattice": [[-3.792, 4.118, 1.954], [-3.564, -4.263, 2.068], [3.000, 0.156, 5.493]],
  "species": ["Cl", "Cl", "S", "Te", "Rb"],
  "fractional_positions": [[0.000, 0.500, 0.000], [0.500, 0.000, 0.000], [0.000, 0.000, 0.500], [0.500, 0.500, 0.500], [0.000, 0.000, 0.000]],
  "magnetic_moment_mub_per_fu": 3.4,
  "e_form_raw_ev_per_atom": 0.44
}

***

{
  "formula": "TeRh3N",
  "functional": "PBE",
  "state": "optimized geometry",
  "lattice": [[-0.945, 4.075, -0.378], [-4.012, -0.999, -0.736], [-0.804, 0.196, 4.118]],
  "species": ["Te", "Rh", "Rh", "Rh", "N"],
  "fractional_positions": [[0.500, 0.500, 0.500], [0.500, 0.000, 0.000], [0.000, 0.500, 0.000], [0.000, 0.000, 0.500], [0.000, 0.000, 0.000]],
  "magnetic_moment_mub_per_fu": 0.7,
  "e_form_raw_ev_per_atom": 0.30
}

***

{
  "formula": "Ba2CuTe",
  "functional": "PBE",
  "state": "optimized geometry",
  "lattice": [[-2.699, 0.293, -4.102], [-3.901, -1.735, 2.443], [-1.834, 6.475, 1.669]],
  "species": ["Ba", "Ba", "Te", "Cu"],
  "fractional_positions": [[0.500, 0.500, 0.375], [0.000, 0.000, 0.875], [0.500, 0.500, 0.875], [0.000, 0.000, 0.375]],
  "magnetic_moment_mub_per_fu": 0.5,
  "e_form_raw_ev_per_atom": -0.73
}

***

{
  "formula": "ScTi2Br",
  "functional": "PBE",
  "state": "optimized geometry",
  "lattice": [[0.000, 3.389, 3.389], [3.389, 0.000, 3.389], [3.389, 3.389, 0.000]],
  "species": ["Ti", "Ti", "Sc", "Br"],
  "fractional_positions": [[0.750, 0.750, 0.750], [0.250, 0.250, 0.250], [0.000, 0.000, 0.000], [0.500, 0.500, 0.500]],
  "magnetic_moment_mub_per_fu": 2.9,
  "e_form_raw_ev_per_atom": 0.54
}

***

{
  "formula": "Y2Pd2S",
  "functional": "PBE",
  "state": "optimized geometry",
  "lattice": [[7.584, 0.000, 0.000], [0.000, 7.584, 0.000], [0.000, 0.000, 3.680]],
  "species": ["S", "S", "Y", "Y", "Y", "Y", "Pd", "Pd", "Pd", "Pd"],
  "fractional_positions": [[0.500, 0.500, 0.000], [0.000, 0.000, 0.000], [0.824, 0.324, 0.500], [0.676, 0.824, 0.500], [0.176, 0.676, 0.500], [0.324, 0.176, 0.500], [0.375, 0.875, 0.000], [0.625, 0.125, 0.000], [0.875, 0.625, 0.000], [0.125, 0.375, 0.000]],
  "magnetic_moment_mub_per_fu": 0.0,
  "e_form_raw_ev_per_atom": -0.91
}

***

{
  "formula": "Ni2Os",
  "functional": "PBE",
  "state": "optimized geometry",
  "lattice": [[-3.238, 0.164, -4.004], [-5.927, -0.982, 4.753], [1.281, 3.551, 2.331]],
  "species": ["Os", "Os", "Os", "Os", "Ni", "Ni", "Ni", "Ni", "Ni", "Ni", "Ni", "Ni"],
  "fractional_positions": [[0.250, 0.422, 0.750], [0.750, 0.578, 0.250], [0.250, 0.922, 0.250], [0.750, 0.078, 0.750], [0.250, 0.588, 0.250], [0.750, 0.744, 0.750], [0.250, 0.256, 0.250], [0.750, 0.244, 0.250], [0.250, 0.756, 0.750], [0.750, 0.912, 0.250], [0.250, 0.088, 0.750], [0.750, 0.412, 0.750]],
  "magnetic_moment_mub_per_fu": 0.0,
  "formation_energy_ev_per_fu": 0.3
}

***

{
  "formula": "Pm2AlSn2",
  "functional": "PBE",
  "state": "optimized geometry",
  "lattice": [[-1.523, -3.243, 2.966], [2.509, -4.995, -4.173], [8.371, 1.912, 2.744]],
  "species": ["Pm", "Pm", "Pm", "Pm", "Al", "Al", "Sn", "Sn", "Sn", "Sn"],
  "fractional_positions": [[0.987, 0.731, 0.974], [0.205, 0.934, 0.409], [0.013, 0.231, 0.026], [0.795, 0.434, 0.591], [0.596, 0.556, 0.191], [0.404, 0.056, 0.809], [0.580, 0.956, 0.160], [0.420, 0.456, 0.840], [0.828, 0.957, 0.656], [0.172, 0.457, 0.344]],
  "magnetic_moment_mub_per_fu": 0.0,
  "formation_energy_ev_per_fu": -2.7
}